Record 1
Compound: AgPt2
Source: the Alexandria database
Functional: GGA-PBEsol
Structure: optimized geometry

abc: 6.879 5.589 4.796
angles: 90.00 91.18 90.00
Sites, in units of the cell vectors:
Ag 0.163 0.128 0.083
Ag 0.163 0.372 0.583
Ag 0.837 0.628 0.417
Ag 0.837 0.872 0.917
Pt 0.171 0.628 0.080
Pt 0.171 0.872 0.580
Pt 0.497 0.623 0.750
Pt 0.497 0.877 0.250
Pt 0.503 0.123 0.750
Pt 0.503 0.377 0.250
Pt 0.829 0.128 0.420
Pt 0.829 0.372 0.920

Calculated values
DFT formation energy   0.04 eV/atom



Record 2
Compound: TaMnIn2
Source: the Alexandria database
Functional: GGA-PBEsol
Structure: optimized geometry

abc: 3.051 3.051 7.804
angles: 90.00 90.00 90.00
Sites, in units of the cell vectors:
Ta 0.000 0.000 0.000
Mn 0.500 0.500 0.833
In 0.000 0.000 0.608
In 0.500 0.500 0.276

Calculated values
DFT formation energy   0.17 eV/atom



Record 3
Compound: Te2As
Source: the Alexandria database
Functional: GGA-PBEsol
Structure: optimized geometry

abc: 4.151 4.151 5.438
angles: 90.00 90.00 120.00
Sites, in units of the cell vectors:
Te 0.333 0.667 0.304
Te 0.667 0.333 0.696
As 0.000 0.000 0.000

Calculated values
Formation energy without anion corrections   0.0318 eV per atom



Record 4
Compound: Sr2Au
Source: the Alexandria database
Functional: GGA-PBEsol
Structure: optimized geometry

abc: 10.452 10.452 10.452
angles: 60.00 60.00 60.00
Sites, in units of the cell vectors:
Sr 0.000 0.000 0.000
Sr 0.000 0.000 0.500
Sr 0.000 0.500 0.000
Sr 0.183 0.183 0.567
Sr 0.183 0.567 0.183
Sr 0.183 0.567 0.567
Sr 0.433 0.433 0.817
Sr 0.433 0.817 0.433
Sr 0.433 0.817 0.817
Sr 0.500 0.000 0.000
Sr 0.567 0.183 0.183
Sr 0.567 0.183 0.567
Sr 0.567 0.567 0.183
Sr 0.817 0.433 0.433
Sr 0.817 0.433 0.817
Sr 0.817 0.817 0.433
Au 0.181 0.773 0.773
Au 0.227 0.227 0.227
Au 0.227 0.227 0.819
Au 0.227 0.819 0.227
Au 0.773 0.181 0.773
Au 0.773 0.773 0.181
Au 0.773 0.773 0.773
Au 0.819 0.227 0.227

Calculated values
DFT formation energy   -0.43 eV/atom



Record 5
Compound: Sc3Ag2
Source: the Alexandria database
Functional: GGA-PBEsol
Structure: optimized geometry

abc: 5.398 5.398 7.319
angles: 122.66 122.66 35.05
Sites, in units of the cell vectors:
Sc 0.000 0.000 0.000
Sc 0.174 0.174 0.766
Sc 0.826 0.826 0.234
Ag 0.391 0.391 0.609
Ag 0.609 0.609 0.391

Calculated values
DFT formation energy   -0.15 eV/atom



Record 6
Compound: Sc2Mo
Source: the Alexandria database
Functional: GGA-PBEsol
Structure: optimized geometry

abc: 5.587 5.587 7.354
angles: 109.21 109.21 34.13
Sites, in units of the cell vectors:
Sc 0.013 0.013 0.215
Sc 0.329 0.329 0.382
Sc 0.671 0.671 0.618
Sc 0.987 0.987 0.785
Mo 0.315 0.315 0.941
Mo 0.685 0.685 0.059

Calculated values
DFT formation energy   0.05 eV/atom



Record 7
Compound: Li2RhPb
Source: the Alexandria database
Functional: GGA-PBEsol
Structure: optimized geometry

abc: 3.885 3.885 4.249
angles: 90.00 90.00 90.00
Sites, in units of the cell vectors:
Li 0.000 0.500 0.000
Li 0.500 0.000 0.000
Rh 0.000 0.000 0.500
Pb 0.500 0.500 0.500

Calculated values
DFT formation energy   -0.21 eV/atom



Record 8
Compound: Ir3CO
Source: the Alexandria database
Functional: GGA-PBEsol
Structure: optimized geometry

abc: 4.027 4.027 4.027
angles: 90.00 90.00 90.00
Sites, in units of the cell vectors:
Ir 0.000 0.000 0.500
Ir 0.000 0.500 0.000
Ir 0.500 0.000 0.000
C 0.500 0.500 0.500
O 0.000 0.000 0.000

Calculated values
Formation energy without anion corrections   2.0935 eV per atom



Record 9
Compound: Ag3Te
Source: the Alexandria database
Functional: GGA-PBEsol
Structure: optimized geometry

abc: 9.008 9.008 9.008
angles: 152.71 152.71 38.97
Sites, in units of the cell vectors:
Ag 0.000 0.500 0.500
Ag 0.118 0.118 0.000
Ag 0.250 0.750 0.500
Ag 0.500 0.000 0.500
Ag 0.750 0.250 0.500
Ag 0.882 0.882 0.000
Te 0.370 0.370 0.000
Te 0.630 0.630 0.000

Calculated values
Formation energy without anion corrections   0.0352 eV per atom



Record 10
Compound: TmBrO
Source: the Alexandria database
Functional: GGA-PBEsol
Structure: optimized geometry

abc: 3.729 4.076 9.119
angles: 90.00 90.00 90.00
Sites, in units of the cell vectors:
Tm 0.250 0.250 0.111
Tm 0.750 0.750 0.889
Br 0.250 0.750 0.665
Br 0.750 0.250 0.335
O 0.250 0.750 0.025
O 0.750 0.250 0.975

Calculated values
Formation energy without anion corrections   -2.9514 eV per atom



Record 11
Compound: SrCr3Tc
Source: the Alexandria database
Functional: GGA-PBEsol
Structure: optimized geometry

abc: 4.507 4.507 4.507
angles: 90.00 90.00 90.00
Sites, in units of the cell vectors:
Sr 0.000 0.000 0.000
Cr 0.000 0.000 0.500
Cr 0.000 0.500 0.000
Cr 0.500 0.000 0.000
Tc 0.500 0.500 0.500

Calculated values
DFT formation energy   2.95 eV/atom



Record 12
Compound: KZrPb2
Source: the Alexandria database
Functional: GGA-PBEsol
Structure: optimized geometry

abc: 6.255 6.255 6.255
angles: 138.18 138.18 60.62
Sites, in units of the cell vectors:
K 0.000 0.000 0.000
Zr 0.250 0.750 0.500
Pb 0.500 0.500 0.000
Pb 0.750 0.250 0.500

Calculated values
DFT formation energy   0.26 eV/atom